Material: CeYTeAs
Method: DFT, PBE
State: optimized geometry

formation energy without anion corrections	-1.4714	eV/atom
calculated total energy	-6.52	eV/atom

Lattice parameters (Å, degrees): 4.2633 4.2633 21.5757 90.00 90.00 120.00
Space group R3m (No. 160, hexagonal axes)
One atom of each set of equivalent atoms:
Ce (0.0000, 0.0000, 0.0000) [3 per cell]
Y (0.0000, 0.0000, 0.5188) [3 per cell]
Te (0.0000, 0.0000, 0.7620) [3 per cell]
As (0.0000, 0.0000, 0.2563) [3 per cell]